(one)
! Li2NdPd | Alexandria | PBE | optimized geometry; values from VASP
&SYSTEM
  ibrav = 0, nat = 4, ntyp = 3
/
ATOMIC_SPECIES
Pd 106.42 Pd.upf
Li 6.94 Li.upf
Nd 144.24 Nd.upf
CELL_PARAMETERS angstrom
-1.0307 2.2984 -1.8240
-2.0915 -0.5978 -2.2227
-8.6422 2.4355 5.3014
ATOMIC_POSITIONS angstrom
Pd -5.8822 2.0681 0.6273
Li -6.2449 1.8462 3.2041
Li -5.5195 2.2899 -1.9494
Nd 0.0000 0.0000 0.0000
! * theoretical density: 5.11 g/cm3
! * spin magnetization: 0.098 μB per atom

=====

(two)
! Li2NdPd | Alexandria | PBE | optimized geometry; values from VASP
&SYSTEM
  ibrav = 0, nat = 8, ntyp = 3
/
ATOMIC_SPECIES
Li 6.94 Li.upf
Pd 106.42 Pd.upf
Nd 144.24 Nd.upf
CELL_PARAMETERS angstrom
-1.9488 1.9773 3.0370
-1.9270 -5.1550 -0.6857
5.4334 -2.7314 5.2650
ATOMIC_POSITIONS angstrom
Li 2.1988 -4.3933 7.0435
Li 1.4588 -2.5716 2.6076
Li -0.6412 -1.5159 0.5727
Li 0.0988 -3.3376 5.0086
Pd -0.9763 -1.6439 3.2270
Pd 2.5339 -4.2653 4.3892
Nd -1.2253 -4.3878 2.0605
Nd 2.7829 -1.5214 5.5557
! * theoretical density: 5.16 g/cm3
! * spin magnetization: 0.000 μB per atom

=====

So which one wins? Going from most stable to least: (two), (one).